Material: TlCO4
Method: DFT, PBE
State: relaxed

Distance to the lowest polymorph of the same formula (eV/atom): 0.3218
E_tot (eV/atom): -5.495
Calculated density (g/cm³): 3.6
Spin magnetization (μB/f.u.): 1.01
Raw formation energy (eV/atom): -0.26

abc: 5.690 5.690 5.690
angles: 60.00 60.00 60.00
Last column: magnetic moment on the atom in μB.
Sites, in units of the cell vectors:
Tl1 0.750 0.750 0.750  -0.02
C1 0.500 0.500 0.500  -0.02
O1 0.599 0.203 0.599  0.22
O2 0.599 0.599 0.203  0.22
O3 0.203 0.599 0.599  0.22
O4 0.599 0.599 0.599  0.22



Material: Er4GaBr5
Method: DFT, PBE
State: relaxed

E_tot (eV/atom): -4.292
Calculated density (g/cm³): 6.4
Spin magnetization (μB/f.u.): 0.00
Raw formation energy (eV/atom): -1.33

abc: 4.039 8.306 9.289
angles: 102.01 102.56 90.00
Sites, in units of the cell vectors:
Er1 0.349 0.921 0.697
Er2 0.999 0.775 0.998
Er3 0.651 0.079 0.303
Er4 0.001 0.225 0.002
Ga1 0.500 0.000 0.000
Br1 0.833 0.670 0.666
Br2 0.826 0.160 0.651
Br3 0.174 0.840 0.349
Br4 0.500 0.500 0.000
Br5 0.167 0.330 0.334



Material: Tm3ThSb4
Method: DFT, PBE
State: relaxed

E_tot (eV/atom): -5.698
Calculated density (g/cm³): 8.6
Spin magnetization (μB/f.u.): 0.00
Raw formation energy (eV/atom): -1.03

abc: 4.390 7.584 7.584
angles: 109.50 90.00 90.00
Sites, in units of the cell vectors:
Tm1 0.000 0.000 0.500
Tm2 0.500 0.500 0.500
Tm3 0.000 0.500 0.000
Th1 0.500 0.000 0.000
Sb1 0.000 0.259 0.259
Sb2 0.500 0.746 0.254
Sb3 0.000 0.741 0.741
Sb4 0.500 0.254 0.746



Material: Sr2NbNiI
Method: DFT, PBE
State: relaxed

E_tot (eV/atom): -4.069
Calculated density (g/cm³): 4.5
Spin magnetization (μB/f.u.): 2.19
Raw formation energy (eV/atom): 0.08

abc: 6.044 4.591 6.044
angles: 90.00 90.00 90.00
Last column: magnetic moment on the atom in μB.
Sites, in units of the cell vectors:
I1 0.500 0.500 0.500  0.02
Sr1 0.000 0.000 0.500  0.03
Sr2 0.500 0.000 0.000  0.02
Nb1 0.000 0.500 0.000  1.42
Ni1 0.000 0.000 0.000  -0.01



Material: BeTlAs2
Method: DFT, PBE
State: relaxed

Distance to the lowest polymorph of the same formula (eV/atom): 0.1387
E_tot (eV/atom): -3.722
Calculated density (g/cm³): 6.8
Spin magnetization (μB/f.u.): 0.00
Formation energy (eV per atom): 0.126

abc: 3.630 4.510 5.696
angles: 71.32 90.00 90.00
Sites, in units of the cell vectors:
Be1 0.500 0.250 0.250
Tl1 0.500 0.750 0.750
As1 0.000 0.032 0.115
As2 0.000 0.468 0.385



Material: Al3Tc2
Method: DFT, PBE
State: relaxed

Distance to the lowest polymorph of the same formula (eV/atom): 0.1944
E_tot (eV/atom): -6.554
Calculated density (g/cm³): 5.5
Spin magnetization (μB/f.u.): 0.00
Formation energy (eV per atom): -0.162

abc: 4.348 4.348 5.113
angles: 90.00 90.00 120.00
Sites, in units of the cell vectors:
Al1 0.000 0.000 0.000
Al2 0.667 0.333 0.610
Al3 0.333 0.667 0.390
Tc1 0.667 0.333 0.106
Tc2 0.333 0.667 0.894



Material: MnInBr
Method: DFT, PBE
State: relaxed

E_tot (eV/atom): -4.264
Calculated density (g/cm³): 6.0
Spin magnetization (μB/f.u.): 3.80
Raw formation energy (eV/atom): 0.26

abc: 4.652 4.652 3.703
angles: 90.00 90.00 120.00
Last column: magnetic moment on the atom in μB.
Sites, in units of the cell vectors:
Br1 0.000 0.000 0.834  0.00
In1 0.333 0.667 0.334  -0.06
Mn1 0.667 0.333 0.832  3.79



Material: MnTc3Te
Method: DFT, PBE
State: relaxed

Distance to the lowest polymorph of the same formula (eV/atom): 0.0000
E_tot (eV/atom): -7.535
Calculated density (g/cm³): 8.8
Spin magnetization (μB/f.u.): 0.00
Raw formation energy (eV/atom): 1.15

abc: 4.475 4.475 4.475
angles: 90.00 90.00 90.00
Sites, in units of the cell vectors:
Te1 0.500 0.500 0.500
Tc1 0.000 0.500 0.000
Tc2 0.000 0.000 0.500
Tc3 0.500 0.000 0.000
Mn1 0.000 0.000 0.000



Material: NaTiF4
Method: DFT, PBE
State: relaxed

E_tot (eV/atom): -5.907
Calculated density (g/cm³): 3.0
Spin magnetization (μB/f.u.): 1.00
Raw formation energy (eV/atom): -3.12

abc: 5.493 5.143 6.791
angles: 110.13 111.85 94.89
Last column: magnetic moment on the atom in μB.
Sites, in units of the cell vectors:
Na1 0.345 0.595 0.190  0.00
Na2 0.655 0.405 0.810  0.00
Ti1 0.090 0.840 0.680  0.91
Ti2 0.910 0.160 0.320  0.91
F1 0.952 0.280 0.097  0.00
F2 0.645 0.817 0.097  0.00
F3 0.247 0.502 0.579  0.00
F4 0.753 0.498 0.421  0.00
F5 0.168 0.923 0.421  0.00
F6 0.355 0.183 0.903  0.00
F7 0.832 0.077 0.579  0.00
F8 0.048 0.720 0.903  0.00



Material: TcAgMo2
Method: DFT, PBE
State: relaxed

Distance to the lowest polymorph of the same formula (eV/atom): 0.1807
E_tot (eV/atom): -8.264
Calculated density (g/cm³): 10.3
Spin magnetization (μB/f.u.): 0.00
Formation energy (eV per atom): 0.455

abc: 5.241 5.241 5.241
angles: 144.05 129.62 63.44
Sites, in units of the cell vectors:
Ag1 0.250 0.750 0.500
Mo1 0.980 0.980 0.000
Mo2 0.750 0.250 0.500
Tc1 0.520 0.520 0.000